This record from Alexandria describes a relaxed Na3Er2MoO6 crystal. The functional is GGA+U.

The structure in POSCAR format:
```
Na3Er2MoO6
1.0
2.883 -4.993 0.000
2.883 4.993 0.000
-1.911 0.000 5.559
Na Er Mo O
3 2 1 6
Direct
0.000 0.000 0.000
0.339 0.661 0.000
0.661 0.339 0.000
0.167 0.833 0.500
0.833 0.167 0.500
0.500 0.500 0.500
0.103 0.430 0.289
0.242 0.242 0.710
0.430 0.103 0.289
0.570 0.897 0.711
0.758 0.758 0.290
0.897 0.570 0.711
```

The calculation puts the uncorrected energy at -0.24321 Ha/atom. As for the symmetry: C2/m, No. 12.